# 1
Density functional theory data (PBE) for a relaxed structure of ScPa2Tc3.

Summary:
Its distance to the lowest polymorph of the same formula is 3.2 kJ per mole of atoms. As for the formation energy from the elements: -247 meV/atom. The total magnetization comes out at 0.000 μB/atom.

Cell lengths 3.4205, 3.4205, 9.9814 Å; angles 90.00, 90.00, 90.00 degrees
Sites, in units of the cell vectors:
Sc 0.5000 0.5000 0.5000
Pa 0.5000 0.5000 0.8237
Pa 0.5000 0.5000 0.1763
Tc 0.0000 0.0000 0.0000
Tc 0.0000 0.0000 0.6749
Tc 0.0000 0.0000 0.3251

# 2
Density functional theory data (PBE) for a relaxed structure of Sc6PaTc2.

Summary:
As for the formation energy from the elements: -195 meV/atom. The total magnetization comes out at 0.000 μB/atom.

Cell lengths 3.3440, 6.0231, 10.3574 Å; angles 75.66, 80.71, 73.88 degrees
Sites, in units of the cell vectors:
Sc 0.6876 0.5009 0.1239
Sc 0.3124 0.4991 0.8761
Sc 0.2993 0.8054 0.5959
Sc 0.9820 0.6984 0.3377
Sc 0.0180 0.3016 0.6623
Sc 0.7007 0.1946 0.4041
Pa 0.0000 0.0000 0.0000
Tc 0.3638 0.0859 0.1865
Tc 0.6362 0.9141 0.8135